Tl2InCuBi | PBE-GGA | relaxed

## Properties
Formation energy from the elements = 0.18 eV/atom
Raw total energy = -2.913 eV/atom
Magnetic moment = 0.000 Bohr magnetons per cell
Volume = 28.93 A^3/atom

Unit cell a=5.280 b=5.280 c=5.187 alpha=90.00 beta=90.00 gamma=90.00
Fractional coordinates of all 5 atoms:
1 Tl 0.000 0.500 0.000
2 Tl 0.500 0.000 0.000
3 In 0.000 0.000 0.500
4 Cu 0.000 0.000 0.000
5 Bi 0.500 0.500 0.500